Entry 1:
This record from Alexandria via LeMat-Bulk describes a geometry-optimized KLaMo2 structure. The functional is PBE.

Density of states at the Fermi level = 4.11 states/eV per cell
E_tot = -24.3 eV per cell
E above lowest polymorph = 1.07 eV per formula unit
DFT formation energy = 0.850 eV per atom
Crystal system = orthorhombic
Symmetry = Imm2, No. 44
Mass density = 4.9 g/cm3

Lattice parameters (Å, degrees): 7.5426 7.5426 7.5426 153.16 139.45 49.29
With the nearest neighbours (Å) after each atom.
Positions (direct):
K 0.5396 0.5396 0.0000  2 K 3.50, 6 Mo 3.65-3.80
La 0.2695 0.7695 0.5000  6 Mo 3.15-3.21, 2 La 3.50
Mo 0.9050 0.9050 0.0000  2 Mo 2.39
Mo 0.7859 0.2859 0.5000  2 Mo 2.39

---

Entry 2:
This record from Alexandria via LeMat-Bulk describes a geometry-optimized KLaMo2 structure. The functional is PBE.

Density of states at the Fermi level = 3.50 states/eV per cell
E_tot = -24.8 eV per cell
E above lowest polymorph = 0.52 eV per formula unit
DFT formation energy = 0.712 eV per atom
Crystal system = orthorhombic
Symmetry = Cmm2, No. 35
Mass density = 6.0 g/cm3

Lattice parameters (Å, degrees): 3.1487 3.1487 11.4260 90.00 90.00 115.41
With the nearest neighbours (Å) after each atom.
Positions (direct):
K 0.0000 0.0000 0.4635  6 K 3.15-3.36, 2 Mo 3.53
La 0.5000 0.5000 0.8081  2 Mo 3.10, 6 La 3.15-3.36
Mo 0.0000 0.0000 0.0362  2 Mo 2.45
Mo 0.5000 0.5000 0.1923  2 Mo 2.45

---

Q: Among the records above, which one has the highest E above lowest polymorph?
A: number 1